Entry 1:
{"formula": "NbSb2TePt", "functional": "PBE-GGA", "state": "optimized geometry", "lattice": [[5.2966, 0.0000, 0.0000], [0.0000, 5.2966, 0.0000], [0.0000, 0.0000, 5.2249]], "species": ["Nb", "Sb", "Sb", "Te", "Pt"], "fractional_positions": [[0.0000, 0.0000, 0.0000], [0.0000, 0.5000, 0.0000], [0.5000, 0.0000, 0.0000], [0.0000, 0.0000, 0.5000], [0.5000, 0.5000, 0.5000]], "formation_energy_uncorrected_ev_per_atom": 0.7353, "density_g_cm3": 7.47, "crystal_system": "tetragonal", "relative_energy_ev_per_fu": 0.000, "magnetic_moment_mub_per_cell": 0.00}

---

Entry 2:
{"formula": "Sc2NbPt", "functional": "PBE-GGA", "state": "optimized geometry", "lattice": [[0.0000, 3.3563, 3.3563], [3.3563, 0.0000, 3.3563], [3.3563, 3.3563, 0.0000]], "species": ["Sc", "Sc", "Nb", "Pt"], "fractional_positions": [[0.2500, 0.2500, 0.2500], [0.7500, 0.7500, 0.7500], [0.0000, 0.0000, 0.0000], [0.5000, 0.5000, 0.5000]], "formation_enthalpy_0k_ev_per_atom": -0.3942, "density_g_cm3": 8.30, "crystal_system": "cubic", "relative_energy_ev_per_fu": 0.594, "magnetic_moment_mub_per_cell": 2.73}

---

Entry 3:
{"formula": "ScNbPt", "functional": "PBE-GGA", "state": "optimized geometry", "lattice": [[3.3003, 0.0000, 0.0000], [0.0000, 4.3519, 0.0000], [-0.0090, 0.0000, 7.9015]], "species": ["Sc", "Sc", "Nb", "Nb", "Pt", "Pt"], "fractional_positions": [[0.2491, 0.2500, 0.1410], [0.7509, 0.7500, 0.8590], [0.2499, 0.7500, 0.4891], [0.7501, 0.2500, 0.5109], [0.2507, 0.2500, 0.7841], [0.7493, 0.7500, 0.2159]], "formation_enthalpy_0k_ev_per_atom": -0.7288, "density_g_cm3": 9.74, "crystal_system": "monoclinic", "magnetic_moment_mub_per_cell": 0.00}

---

Entry 4:
{"formula": "Sc2NbPt", "functional": "PBE-GGA", "state": "optimized geometry", "lattice": [[-3.7812, 3.7812, 2.8735], [3.7812, -3.7812, 2.8735], [3.7812, 3.7812, -2.8735]], "species": ["Sc", "Sc", "Sc", "Sc", "Nb", "Nb", "Pt", "Pt"], "fractional_positions": [[0.0896, 0.1250, 0.4646], [0.3750, 0.9104, 0.0354], [0.6604, 0.6250, 0.5354], [0.8750, 0.3396, 0.9646], [0.2500, 0.7500, 0.5000], [0.5000, 0.5000, 0.0000], [0.0000, 0.0000, 0.0000], [0.7500, 0.2500, 0.5000]], "formation_enthalpy_0k_ev_per_atom": -0.1378, "density_g_cm3": 7.64, "crystal_system": "tetragonal", "relative_energy_ev_per_fu": 1.619, "magnetic_moment_mub_per_cell": 0.00}